No. 1
# Ca2Ag3

A relaxed Ca2Ag3 crystal (PBE, the Alexandria database).

For the energy, the calculation gives -2.676 eV per atom. Its energy of formation from the pure elements is -0.16 eV/atom.

Cell and atoms, written as POSCAR:
```
Ca2Ag3
1.0
0.000 11.650 2.051
5.454 0.000 2.051
5.454 11.650 0.000
Ca Ag
4 6
Direct
0.118 0.882 0.252
0.502 0.998 0.368
0.882 0.118 0.748
0.998 0.502 0.132
0.129 0.784 0.509
0.216 0.216 0.784
0.466 0.466 0.034
0.672 0.741 0.466
0.741 0.672 0.121
0.784 0.129 0.578
```

---

No. 2
# TcBAsBr2

A relaxed TcBAsBr2 crystal (PBE, the Alexandria database).

For the energy, the calculation gives -3.798 eV per atom.

Cell and atoms, written as POSCAR:
```
TcBAsBr2
1.0
5.241 0.000 0.000
0.000 5.241 0.000
0.000 0.000 4.713
Tc B As Br
1 1 1 2
Direct
0.000 0.000 0.000
0.500 0.500 0.500
0.000 0.000 0.500
0.000 0.500 0.000
0.500 0.000 0.000
```

---

No. 3
# TmZr3Ga2

A relaxed TmZr3Ga2 crystal (PBE, the Alexandria database).

For the energy, the calculation gives -6.380 eV per atom. Its energy of formation from the pure elements is -0.35 eV/atom.

Cell and atoms, written as POSCAR:
```
TmZr3Ga2
1.0
8.197 -2.072 0.000
8.197 2.072 0.000
-3.391 0.000 7.812
Tm Zr Ga
2 6 4
Direct
0.118 0.118 0.137
0.882 0.882 0.863
0.054 0.054 0.679
0.311 0.311 0.117
0.359 0.359 0.513
0.641 0.641 0.487
0.689 0.689 0.883
0.946 0.946 0.321
0.241 0.241 0.707
0.494 0.494 0.148
0.506 0.506 0.852
0.759 0.759 0.293
```

---

No. 4
# V3Fe3Pt5

A relaxed V3Fe3Pt5 crystal (PBE, the Alexandria database).

For the energy, the calculation gives -7.516 eV per atom. Its energy of formation from the pure elements is 0.02 eV/atom.

Cell and atoms, written as POSCAR:
```
V3Fe3Pt5
1.0
8.268 0.000 0.000
-4.134 7.160 0.000
0.000 0.000 2.717
V Fe Pt
3 3 5
Direct
0.000 0.612 0.000
0.388 0.388 0.000
0.612 0.000 0.000
0.000 0.838 0.500
0.162 0.162 0.500
0.838 0.000 0.500
0.000 0.343 0.500
0.333 0.667 0.500
0.343 0.000 0.500
0.657 0.657 0.500
0.667 0.333 0.500
```

---

Values of total magnetic moment, in order: 0.0, 1.1, 0.0, 2.5, all in μB per formula unit.
Values of density of states at the Fermi level, in order: 2.31, 4.17, 4.81, 11.44, all in states/eV/f.u..